Mn2HO (GGA+U, optimized geometry); V = 11.04 Å³ per atom; E_tot = -6.25 eV per atom
1.0
-2.193 2.193 4.591
2.193 -2.193 4.591
2.193 2.193 -4.591
Mn H O
4 2 2
Cartesian
2.193 1.097 -1.157 Mn
0.000 1.097 1.138 Mn
2.193 1.097 3.453 Mn
0.000 1.097 5.748 Mn
2.193 1.097 1.148 H
0.000 1.097 3.443 H
2.193 -1.097 3.443 O
0.000 3.290 1.148 O